[1]
Material: K4CaBr
Method: DFT, PBE
State: optimized geometry Values from VASP.

Geometry as Quantum ESPRESSO input:
```
&SYSTEM
  ibrav = 0, nat = 6, ntyp = 3
/
ATOMIC_SPECIES
K 39.10 K.upf
Br 79.90 Br.upf
Ca 40.08 Ca.upf
ATOMIC_POSITIONS crystal
K 0.6246 0.6246 0.6246
K 0.6246 0.1262 0.6246
K 0.6246 0.6246 0.1262
K 0.1262 0.6246 0.6246
Br 0.2500 0.2500 0.2500
Ca 0.0000 0.0000 0.0000
CELL_PARAMETERS angstrom
0.0000 5.6354 5.6354
5.6354 0.0000 5.6354
5.6354 5.6354 0.0000
```

- Volume: 59.7 Å³/atom
- ΔE_f (raw): -0.08 eV per atom
- Total magnetization: 0.00 μB per cell

[2]
Material: KCaBr3
Method: DFT, PBE
State: optimized geometry Values from VASP.

Geometry as Quantum ESPRESSO input:
```
&SYSTEM
  ibrav = 0, nat = 20, ntyp = 3
/
ATOMIC_SPECIES
Br 79.90 Br.upf
K 39.10 K.upf
Ca 40.08 Ca.upf
ATOMIC_POSITIONS crystal
Br 0.2500 0.3375 0.5332
Br 0.2500 0.8375 0.9668
Br 0.2500 0.1827 0.7975
Br 0.7500 0.1625 0.0332
Br 0.7500 0.8173 0.2025
Br 0.7500 0.5021 0.8990
Br 0.7500 0.3173 0.2975
Br 0.2500 0.4979 0.1010
Br 0.7500 0.0021 0.6010
Br 0.7500 0.6625 0.4668
Br 0.2500 0.6827 0.7025
Br 0.2500 0.9979 0.3990
K 0.2500 0.5966 0.3039
K 0.7500 0.9034 0.8039
K 0.2500 0.0966 0.1961
K 0.7500 0.4034 0.6961
Ca 0.2500 0.8127 0.5461
Ca 0.2500 0.3127 0.9539
Ca 0.7500 0.6873 0.0461
Ca 0.7500 0.1873 0.4539
CELL_PARAMETERS angstrom
-4.1931 -0.5111 1.0597
1.1804 -9.4368 0.1192
3.9234 0.6911 15.8581
```

- Volume: 33.9 Å³/atom
- ΔE_f (raw): -1.93 eV per atom
- Total magnetization: 0.00 μB per cell

[3]
Material: KCa2Br
Method: DFT, PBE
State: optimized geometry Values from VASP.

Geometry as Quantum ESPRESSO input:
```
&SYSTEM
  ibrav = 0, nat = 4, ntyp = 3
/
ATOMIC_SPECIES
Br 79.90 Br.upf
Ca 40.08 Ca.upf
K 39.10 K.upf
ATOMIC_POSITIONS crystal
Br 0.5000 0.0000 0.5000
Ca 0.0000 0.0000 0.0000
Ca 0.0000 0.5000 0.5000
K 0.5000 0.5000 0.0000
CELL_PARAMETERS angstrom
7.5888 -0.0001 0.0073
-2.6028 5.7275 -0.0020
1.0654 0.4983 3.8622
```

- Volume: 42.0 Å³/atom
- ΔE_f (raw): -0.42 eV per atom
- Total magnetization: 0.00 μB per cell

[4]
Material: KCa2Br
Method: DFT, PBE
State: optimized geometry Values from VASP.

Geometry as Quantum ESPRESSO input:
```
&SYSTEM
  ibrav = 0, nat = 4, ntyp = 3
/
ATOMIC_SPECIES
Ca 40.08 Ca.upf
Br 79.90 Br.upf
K 39.10 K.upf
ATOMIC_POSITIONS crystal
Ca 0.0000 0.0000 0.5516
Ca 0.0000 0.0000 0.9484
Br 0.5000 0.5000 0.7500
K 0.5000 0.5000 0.2500
CELL_PARAMETERS angstrom
-2.0321 -2.4588 -2.0322
-0.5522 -2.1020 3.0954
-9.3254 5.8172 2.2867
```

- Volume: 40.1 Å³/atom
- ΔE_f (raw): -0.45 eV per atom
- Total magnetization: 0.00 μB per cell

[5]
Material: KCa2Br5
Method: DFT, PBE
State: optimized geometry Values from VASP.

Geometry as Quantum ESPRESSO input:
```
&SYSTEM
  ibrav = 0, nat = 8, ntyp = 3
/
ATOMIC_SPECIES
Br 79.90 Br.upf
Ca 40.08 Ca.upf
K 39.10 K.upf
ATOMIC_POSITIONS crystal
Br 0.3444 0.0826 0.6889
Br 0.3444 0.6063 0.6889
Br 0.0000 0.5000 0.0000
Br 0.6556 0.9174 0.3111
Br 0.6556 0.3937 0.3111
Ca 0.1847 0.6847 0.3694
Ca 0.8153 0.3153 0.6306
K 0.0000 0.0000 0.0000
CELL_PARAMETERS angstrom
4.3972 0.0000 -0.8736
-0.6282 6.7218 -3.1619
-0.5172 0.0043 8.9001
```

- Volume: 32.5 Å³/atom
- ΔE_f (raw): -1.92 eV per atom
- Total magnetization: 0.00 μB per cell

[6]
Material: KCaBr4
Method: DFT, PBE
State: optimized geometry Values from VASP.

Geometry as Quantum ESPRESSO input:
```
&SYSTEM
  ibrav = 0, nat = 6, ntyp = 3
/
ATOMIC_SPECIES
Br 79.90 Br.upf
K 39.10 K.upf
Ca 40.08 Ca.upf
ATOMIC_POSITIONS crystal
Br 0.8742 0.3753 0.3753
Br 0.3753 0.3753 0.8742
Br 0.3753 0.3753 0.3753
Br 0.3753 0.8742 0.3753
K 0.0000 0.0000 0.0000
Ca 0.7500 0.7500 0.7500
CELL_PARAMETERS angstrom
4.1769 -4.9787 -1.0686
-2.1800 -5.6121 -2.6699
1.7101 -1.6004 -6.1556
```

- Volume: 33.7 Å³/atom
- ΔE_f (raw): -0.63 eV per atom
- Total magnetization: 1.03 μB per cell

[7]
Material: KCa2Br
Method: DFT, PBE
State: optimized geometry Values from VASP.

Geometry as Quantum ESPRESSO input:
```
&SYSTEM
  ibrav = 0, nat = 4, ntyp = 3
/
ATOMIC_SPECIES
Ca 40.08 Ca.upf
K 39.10 K.upf
Br 79.90 Br.upf
ATOMIC_POSITIONS crystal
Ca 0.0000 0.0000 0.0000
Ca 0.5000 0.5000 0.0000
K 0.5000 0.0000 0.5000
Br 0.0000 0.5000 0.5000
CELL_PARAMETERS angstrom
6.9908 0.0098 0.0000
-3.3420 6.1402 0.0000
0.0000 0.0000 3.9212
```

- Volume: 42.1 Å³/atom
- ΔE_f (raw): -0.31 eV per atom
- Total magnetization: 0.00 μB per cell

[8]
Material: KCaBr
Method: DFT, PBE
State: optimized geometry Values from VASP.

Geometry as Quantum ESPRESSO input:
```
&SYSTEM
  ibrav = 0, nat = 3, ntyp = 3
/
ATOMIC_SPECIES
Br 79.90 Br.upf
K 39.10 K.upf
Ca 40.08 Ca.upf
ATOMIC_POSITIONS crystal
Br 0.0000 0.0000 0.0173
K 0.3333 0.6667 0.7090
Ca 0.6667 0.3333 0.2737
CELL_PARAMETERS angstrom
4.1799 0.0000 0.0000
-2.0899 3.6199 0.0000
0.0000 0.0000 7.8662
```

- Volume: 39.7 Å³/atom
- ΔE_f (raw): -0.92 eV per atom
- Total magnetization: 0.07 μB per cell

Look up the volume of the third one. 42.0 Å³/atom

Among the records above, which one has the lowest volume? KCa2Br5